1.
The following is a DFT calculation (PBE) of KCeI4 after structural relaxation.

POSCAR file:
```
KCeI4
1.0
7.685 -0.081 0.000
-2.057 8.982 0.000
-2.814 -4.451 7.626
I K Ce
8 2 2
Direct
0.197 0.273 0.328 I
0.014 0.214 0.871 I
0.986 0.786 0.129 I
0.631 0.055 0.328 I
0.358 0.658 0.871 I
0.369 0.945 0.672 I
0.803 0.727 0.672 I
0.642 0.342 0.129 I
0.385 0.635 0.269 K
0.615 0.365 0.731 K
0.751 0.001 0.001 Ce
0.249 0.999 0.999 Ce
```

Size of the total moment ... 2.000 Bohr magnetons per cell
Crystal system ... monoclinic
Energy above the lowest structure with this stoichiometry ... 2.8 kJ/mol of atoms
SG ... C2/c (15)
Volume ... 525 Å³ per cell



2.
The following is a DFT calculation (PBE) of SrY2Rh after structural relaxation.

POSCAR file:
```
SrY2Rh
1.0
10.221 -0.008 -0.005
9.496 3.782 -0.005
9.496 1.817 3.317
Sr Rh Y
1 1 2
Direct
0.774 0.774 0.774 Sr
0.507 0.507 0.507 Rh
0.994 0.994 0.994 Y
0.225 0.225 0.225 Y
```

Size of the total moment ... 0.454 Bohr magnetons per cell
Crystal system ... trigonal
Energy above the lowest structure with this stoichiometry ... 22.8 kJ/mol of atoms
SG ... R3m (160)
Volume ... 129 Å³ per cell
E_form ... -0.1106 eV/atom